Crystalline LaCrS2N at its relaxed geometry. Source: Alexandria via LeMat-Bulk, functional GGA-PBE.

Output
- crystal system = tetragonal
- formation energy (no corrections) (eV per atom) = -1.050

Cell lengths 4.818, 4.818, 3.710 Å; angles 90.00, 90.00, 90.00 degrees
Sites, in units of the cell vectors:
La1 0.000 0.000 0.000
Cr1 0.500 0.500 0.500
S1 0.000 0.500 0.500
S2 0.500 0.000 0.500
N1 0.500 0.500 0.000

***

Crystalline LaCrSN2 at its relaxed geometry. Source: Alexandria via LeMat-Bulk, functional GGA-PBE.

Output
- crystal system = tetragonal
- formation energy (no corrections) (eV per atom) = 0.858
- distance to the lowest polymorph of the same formula (meV/atom) = 1501

Cell lengths 4.117, 4.117, 6.060 Å; angles 90.00, 90.00, 90.00 degrees
Sites, in units of the cell vectors:
La1 0.000 0.000 0.000
Cr1 0.500 0.500 0.500
S1 0.000 0.000 0.500
N1 0.000 0.500 0.000
N2 0.500 0.000 0.000

***

Crystalline LaCrSb2N at its relaxed geometry. Source: Alexandria via LeMat-Bulk, functional GGA-PBE.

Output
- crystal system = tetragonal
- formation energy (no corrections) (eV per atom) = -0.238

Cell lengths 5.644, 5.644, 3.593 Å; angles 90.00, 90.00, 90.00 degrees
Sites, in units of the cell vectors:
La1 0.000 0.000 0.000
Cr1 0.500 0.500 0.500
Sb1 0.000 0.500 0.500
Sb2 0.500 0.000 0.500
N1 0.500 0.500 0.000

***

Crystalline La2CrSbN at its relaxed geometry. Source: Alexandria via LeMat-Bulk, functional GGA-PBE.

Output
- crystal system = tetragonal
- formation energy (no corrections) (eV per atom) = -0.723

Cell lengths 5.316, 5.316, 3.880 Å; angles 90.00, 90.00, 90.00 degrees
Sites, in units of the cell vectors:
La1 0.000 0.500 0.000
La2 0.500 0.000 0.000
Cr1 0.000 0.000 0.500
Sb1 0.500 0.500 0.500
N1 0.000 0.000 0.000

***

Crystalline LaCrSeN2 at its relaxed geometry. Source: Alexandria via LeMat-Bulk, functional GGA-PBE.

Output
- crystal system = tetragonal
- formation energy (no corrections) (eV per atom) = -0.399

Cell lengths 3.986, 3.986, 4.877 Å; angles 90.00, 90.00, 90.00 degrees
Sites, in units of the cell vectors:
La1 0.000 0.000 0.000
Cr1 0.500 0.500 0.500
Se1 0.500 0.500 0.000
N1 0.000 0.500 0.500
N2 0.500 0.000 0.500

***

Crystalline LaSmCrN4 at its relaxed geometry. Source: Alexandria via LeMat-Bulk, functional GGA-PBE.

Output
- crystal system = monoclinic
- formation energy (no corrections) (eV per atom) = -1.083

Cell lengths 5.665, 5.427, 7.278 Å; angles 90.00, 104.52, 90.00 degrees
Sites, in units of the cell vectors:
La1 0.219 0.250 0.024
La2 0.781 0.750 0.976
Sm1 0.245 0.250 0.532
Sm2 0.755 0.750 0.468
Cr1 0.231 0.750 0.778
Cr2 0.769 0.250 0.222
N1 0.036 0.501 0.721
N2 0.036 0.999 0.721
N3 0.361 0.750 0.019
N4 0.457 0.750 0.654
N5 0.543 0.250 0.346
N6 0.639 0.250 0.981
N7 0.964 0.001 0.279
N8 0.964 0.499 0.279

***

Crystalline LaSmCrN3 at its relaxed geometry. Source: Alexandria via LeMat-Bulk, functional GGA-PBE.

Output
- crystal system = monoclinic
- formation energy (no corrections) (eV per atom) = -1.067

Cell lengths 7.353, 3.482, 7.768 Å; angles 90.00, 98.94, 90.00 degrees
Sites, in units of the cell vectors:
La1 0.186 0.250 0.183
La2 0.814 0.750 0.817
Sm1 0.178 0.250 0.633
Sm2 0.822 0.750 0.367
Cr1 0.404 0.750 0.919
Cr2 0.596 0.250 0.081
N1 0.148 0.750 0.399
N2 0.158 0.750 0.872
N3 0.487 0.250 0.848
N4 0.513 0.750 0.152
N5 0.842 0.250 0.128
N6 0.852 0.250 0.601

***

Crystalline Sr2LaCrN4 at its relaxed geometry. Source: Alexandria via LeMat-Bulk, functional GGA-PBE.

Output
- crystal system = orthorhombic
- formation energy (no corrections) (eV per atom) = -0.852

Cell lengths 7.496, 7.121, 5.509 Å; angles 90.00, 90.00, 90.00 degrees
Sites, in units of the cell vectors:
Sr1 0.242 0.158 0.000
Sr2 0.258 0.842 0.500
Sr3 0.742 0.842 0.500
Sr4 0.758 0.158 0.000
La1 0.000 0.380 0.506
La2 0.500 0.620 0.006
Cr1 0.000 0.672 0.046
Cr2 0.500 0.328 0.546
N1 0.000 0.421 0.982
N2 0.000 0.677 0.367
N3 0.206 0.789 0.964
N4 0.294 0.211 0.464
N5 0.500 0.323 0.867
N6 0.500 0.579 0.482
N7 0.706 0.211 0.464
N8 0.794 0.789 0.964

***

What did the second record say?
Crystalline LaCrSN2 at its relaxed geometry. Source: Alexandria via LeMat-Bulk, functional GGA-PBE.

Output
- crystal system = tetragonal
- formation energy (no corrections) (eV per atom) = 0.858
- distance to the lowest polymorph of the same formula (meV/atom) = 1501

Cell lengths 4.117, 4.117, 6.060 Å; angles 90.00, 90.00, 90.00 degrees
Sites, in units of the cell vectors:
La1 0.000 0.000 0.000
Cr1 0.500 0.500 0.500
S1 0.000 0.000 0.500
N1 0.000 0.500 0.000
N2 0.500 0.000 0.000

***

> formation energy (no corrections) of number 3 (LaCrSb2N)?

-0.238 eV per atom

***

> Which formula does entry 2 have?

LaCrSN2